# 1
80
Lattice="-6.864 6.864 6.864 6.864 -6.864 6.864 6.864 6.864 -6.864" Properties=species:S:1:pos:R:3 comment="PBE-GGA Nb12B5P3, optimized geometry" spacegroup="Ia-3d (230)" dos_ef_per_ev_fu=10.98 e_form_ev_per_atom=-0.0847 pbc="T T T"
Nb 2.030 -0.420 0.914
Nb 8.266 4.345 -3.851
Nb 6.444 -0.914 2.030
Nb 10.715 -1.402 2.518
Nb 8.893 0.420 0.914
Nb 8.266 -2.518 3.851
Nb 0.914 2.030 -0.420
Nb 9.382 3.012 -1.402
Nb 4.345 3.851 -1.402
Nb 5.950 2.030 0.420
Nb -0.420 0.914 2.030
Nb 3.851 -1.402 4.345
Nb 6.444 5.950 -2.030
Nb 3.851 1.402 2.518
Nb 5.950 -2.030 6.444
Nb 4.345 -3.851 8.266
Nb 2.518 3.851 1.402
Nb 7.777 4.834 0.420
Nb 2.030 6.444 -0.914
Nb 8.266 2.518 3.012
Nb 3.851 8.266 -2.518
Nb 6.444 0.914 4.834
Nb 1.402 2.518 3.851
Nb 2.030 0.420 5.950
Nb 4.834 6.444 0.914
Nb 5.462 4.345 3.012
Nb 0.420 5.950 2.030
Nb 3.012 -1.402 9.382
Nb -1.402 4.345 3.851
Nb 4.834 0.420 7.777
Nb -0.914 2.030 6.444
Nb 4.345 3.012 5.462
Nb 2.518 10.715 -1.402
Nb 0.914 8.893 0.420
Nb 3.012 5.462 4.345
Nb 0.420 0.914 8.893
Nb 3.012 8.266 2.518
Nb 7.283 5.950 4.834
Nb 0.914 4.834 6.444
Nb 2.518 3.012 8.266
Nb -2.518 3.851 8.266
Nb 5.950 4.834 7.283
Nb -1.402 9.382 3.012
Nb -2.030 6.444 5.950
Nb -3.851 8.266 4.345
Nb 0.420 7.777 4.834
Nb -1.402 2.518 10.715
Nb 4.834 7.283 5.950
B 0.000 0.000 0.000
B 3.432 3.432 -3.432
B 3.432 -3.432 3.432
B 6.864 0.000 0.000
B 10.295 1.716 0.000
B 6.864 -3.432 5.148
B 5.148 6.864 -3.432
B 5.148 0.000 3.432
B 3.432 5.148 0.000
B 6.864 3.432 1.716
B -3.432 3.432 3.432
B 0.000 6.864 0.000
B 0.000 0.000 6.864
B 3.432 3.432 3.432
B 0.000 3.432 5.148
B 3.432 1.716 6.864
B 1.716 6.864 3.432
B 1.716 0.000 10.295
B 0.000 10.295 1.716
B -3.432 5.148 6.864
P 3.432 1.716 0.000
P 6.864 3.432 -1.716
P 1.716 0.000 3.432
P 8.579 0.000 3.432
P 0.000 3.432 1.716
P 3.432 -1.716 6.864
P 3.432 8.579 0.000
P 6.864 3.432 5.148
P -1.716 6.864 3.432
P 5.148 6.864 3.432
P 0.000 3.432 8.579
P 3.432 5.148 6.864

=====

# 2
5
Lattice="4.810 0.000 0.000 0.000 4.810 0.000 0.000 0.000 4.810" Properties=species:S:1:pos:R:3 comment="PBE-GGA NbBP3, optimized geometry" relative_energy_ev_per_atom=0.6016 spacegroup="Pm-3m (221)" dos_ef_per_ev_fu=3.52 e_form_ev_per_atom=1.2780 pbc="T T T"
Nb 0.000 0.000 0.000
B 2.405 2.405 2.405
P 0.000 0.000 2.405
P 0.000 2.405 0.000
P 2.405 0.000 0.000

=====

# 3
16
Lattice="-3.117 3.117 5.791 3.117 -3.117 5.791 3.117 3.117 -5.791" Properties=species:S:1:pos:R:3 comment="PBE-GGA Nb5B2P, optimized geometry" spacegroup="I4/mcm (140)" dos_ef_per_ev_fu=2.35 e_form_ev_per_atom=-0.7744 pbc="T T T"
Nb 0.000 0.000 0.000
Nb 4.166 1.049 -1.622
Nb 1.049 2.068 -1.622
Nb 4.166 1.049 1.622
Nb 1.049 2.068 1.622
Nb 0.000 0.000 5.791
Nb 2.068 1.049 4.170
Nb -1.049 2.068 4.170
Nb 2.068 1.049 7.413
Nb -1.049 2.068 7.413
B 2.412 0.705 0.000
B 2.412 -0.705 5.791
B 0.705 3.822 0.000
B 0.705 2.412 5.791
P 0.000 0.000 2.896
P 0.000 0.000 8.687

=====

# 4
8
Lattice="-2.834 2.834 2.855 2.834 -2.834 2.855 2.834 2.834 -2.855" Properties=species:S:1:pos:R:3 comment="PBE-GGA NbB2P, optimized geometry" spacegroup="I-42d (122)" dos_ef_per_ev_fu=1.57 e_form_ev_per_atom=0.2004 pbc="T T T"
Nb 0.000 0.000 0.000
Nb 0.000 2.834 1.428
B 1.417 -1.048 2.142
B 1.786 1.417 0.714
B 1.417 3.882 -0.714
B 1.048 1.417 3.569
P 2.834 0.000 1.428
P 0.000 0.000 2.855

=====

# 5
11
Lattice="8.927 -1.746 0.000 8.927 1.746 0.000 -1.928 0.000 5.871" Properties=species:S:1:pos:R:3 comment="PBE-GGA Nb8BP2, optimized geometry" spacegroup="C2/m (12)" dos_ef_per_ev_fu=4.47 e_form_ev_per_atom=-0.3503 pbc="T T T"
Nb 0.186 0.000 1.818
Nb 2.331 0.000 4.844
Nb 4.787 0.000 3.126
Nb 7.150 0.000 0.692
Nb 8.776 0.000 5.179
Nb 11.139 0.000 2.745
Nb 13.595 0.000 1.027
Nb 15.740 0.000 4.054
B 7.963 0.000 2.936
P 2.750 0.000 1.023
P 13.175 0.000 4.849

=====

# 6
5
Lattice="4.117 0.000 0.000 0.000 4.117 0.000 0.000 0.000 4.117" Properties=species:S:1:pos:R:3 comment="PBE-GGA NbBP3, optimized geometry" relative_energy_ev_per_atom=0.0000 spacegroup="Pm-3m (221)" dos_ef_per_ev_fu=5.09 e_form_ev_per_atom=0.6764 pbc="T T T"
Nb 0.000 0.000 0.000
B 2.059 2.059 2.059
P 0.000 2.059 2.059
P 2.059 0.000 2.059
P 2.059 2.059 0.000

=====

# 7
5
Lattice="4.905 0.000 0.000 0.000 4.905 0.000 0.000 0.000 4.407" Properties=species:S:1:pos:R:3 comment="PBE-GGA NbBP2Pb, optimized geometry" spacegroup="P4/mmm (123)" dos_ef_per_ev_fu=2.41 e_form_ev_per_atom=0.5357 pbc="T T T"
Nb 0.000 0.000 0.000
B 0.000 0.000 2.204
P 0.000 2.453 0.000
P 2.453 0.000 0.000
Pb 2.453 2.453 2.204

=====

# 8
5
Lattice="4.887 0.000 0.000 0.000 4.887 0.000 0.000 0.000 3.810" Properties=species:S:1:pos:R:3 comment="PBE-GGA Nb2BPRh, optimized geometry" spacegroup="P4/mmm (123)" dos_ef_per_ev_fu=3.90 e_form_ev_per_atom=0.8121 pbc="T T T"
Nb 0.000 2.443 0.000
Nb 2.443 0.000 0.000
B 0.000 0.000 1.905
P 2.443 2.443 1.905
Rh 0.000 0.000 0.000